one | The following is a DFT calculation (PBE) of a geometry-optimized NpMnPd structure.

The structure in CIF format:
```
data_NpMnPd
_chemical_formula_sum 'Np2 Mn2 Pd2'
_cell_length_a 2.750
_cell_length_b 2.750
_cell_length_c 12.845
_cell_angle_alpha 90.00
_cell_angle_beta 90.00
_cell_angle_gamma 90.00
_space_group_name_H-M_alt 'I 4 m m'
_space_group_IT_number 107
_space_group_name_Hall 'I 4 -2'
loop_
_atom_site_label
_atom_site_fract_x
_atom_site_fract_y
_atom_site_fract_z
Np1 0.000 0.000 0.000
Mn1 0.000 0.000 0.668
Pd1 0.000 0.000 0.312
```

Output
D(E_F): 14.9 states/eV/cell
M_tot: 1.563 μB/atom

***

two | The following is a DFT calculation (PBE) of a geometry-optimized NpMnPd structure.

The structure in CIF format:
```
data_NpMnPd
_chemical_formula_sum 'Np4 Mn4 Pd4'
_cell_length_a 4.903
_cell_length_b 4.518
_cell_length_c 9.276
_cell_angle_alpha 90.00
_cell_angle_beta 93.38
_cell_angle_gamma 90.00
_space_group_name_H-M_alt 'C 1 2/m 1'
_space_group_IT_number 12
loop_
_space_group_symop_operation_xyz
'x,y,z'
'-x,-y,-z'
'-x,y,-z'
'x,-y,z'
'x+1/2,y+1/2,z'
'-x+1/2,-y+1/2,-z'
'-x+1/2,y+1/2,-z'
'x+1/2,-y+1/2,z'
loop_
_atom_site_label
_atom_site_fract_x
_atom_site_fract_y
_atom_site_fract_z
Np1 0.212 0.000 0.067
Mn1 0.242 0.000 0.419
Pd1 0.220 0.500 0.271
```

Output
D(E_F): 21.2 states/eV/cell
M_tot: 1.279 μB/atom

***

Verdict on stability: two comes out on top.

***

one | The following is a DFT calculation (PBE) of a geometry-optimized NpMn2Pt structure.

The structure in CIF format:
```
data_NpMn2Pt
_chemical_formula_sum 'Np4 Mn8 Pt4'
_cell_length_a 6.272
_cell_length_b 6.272
_cell_length_c 6.272
_cell_angle_alpha 90.00
_cell_angle_beta 90.00
_cell_angle_gamma 90.00
_space_group_name_H-M_alt 'F m -3 m'
_space_group_IT_number 225
_space_group_name_Hall '-F 4 2 3'
loop_
_atom_site_label
_atom_site_fract_x
_atom_site_fract_y
_atom_site_fract_z
Np1 0.000 0.000 0.000
Mn1 0.250 0.250 0.250
Pt1 0.000 0.000 0.500
```

Output
D(E_F): 34.0 states/eV/cell
M_tot: 1.835 μB/atom

***

two | The following is a DFT calculation (PBE) of a geometry-optimized NpMn2Pt structure.

The structure in CIF format:
```
data_NpMn2Pt
_chemical_formula_sum 'Np1 Mn2 Pt1'
_cell_length_a 4.083
_cell_length_b 4.083
_cell_length_c 3.852
_cell_angle_alpha 90.00
_cell_angle_beta 90.00
_cell_angle_gamma 90.00
_space_group_name_H-M_alt 'P 4/m m m'
_space_group_IT_number 123
_space_group_name_Hall '-P 4 2'
loop_
_atom_site_label
_atom_site_fract_x
_atom_site_fract_y
_atom_site_fract_z
Np1 0.000 0.000 0.000
Mn1 0.000 0.500 0.500
Pt1 0.500 0.500 0.000
```

Output
D(E_F): 3.6 states/eV/cell
M_tot: 0.631 μB/atom

***

three | The following is a DFT calculation (PBE) of a geometry-optimized NpMn2Pt structure.

The structure in CIF format:
```
data_NpMn2Pt
_chemical_formula_sum 'Np1 Mn2 Pt1'
_cell_length_a 3.307
_cell_length_b 3.307
_cell_length_c 5.799
_cell_angle_alpha 90.00
_cell_angle_beta 90.00
_cell_angle_gamma 90.00
_space_group_name_H-M_alt 'P 4/m m m'
_space_group_IT_number 123
_space_group_name_Hall '-P 4 2'
loop_
_atom_site_label
_atom_site_fract_x
_atom_site_fract_y
_atom_site_fract_z
Np1 0.000 0.000 0.000
Mn1 0.500 0.500 0.247
Pt1 0.000 0.000 0.500
```

Output
D(E_F): 4.3 states/eV/cell
M_tot: 0.577 μB/atom

***

Verdict on stability: two comes out on top.

***

one | The following is a DFT calculation (PBE) of a geometry-optimized NpMn2Rh structure.

The structure in CIF format:
```
data_NpMn2Rh
_chemical_formula_sum 'Np1 Mn2 Rh1'
_cell_length_a 2.986
_cell_length_b 2.986
_cell_length_c 7.228
_cell_angle_alpha 90.00
_cell_angle_beta 90.00
_cell_angle_gamma 90.00
_space_group_name_H-M_alt 'P 4/m m m'
_space_group_IT_number 123
_space_group_name_Hall '-P 4 2'
loop_
_atom_site_label
_atom_site_fract_x
_atom_site_fract_y
_atom_site_fract_z
Np1 0.000 0.000 0.000
Mn1 0.500 0.500 0.285
Rh1 0.000 0.000 0.500
```

Output
D(E_F): 7.5 states/eV/cell
M_tot: 0.794 μB/atom

***

two | The following is a DFT calculation (PBE) of a geometry-optimized NpMn2Rh structure.

The structure in CIF format:
```
data_NpMn2Rh
_chemical_formula_sum 'Np1 Mn2 Rh1'
_cell_length_a 3.960
_cell_length_b 3.960
_cell_length_c 4.044
_cell_angle_alpha 90.00
_cell_angle_beta 90.00
_cell_angle_gamma 90.00
_space_group_name_H-M_alt 'P 4/m m m'
_space_group_IT_number 123
_space_group_name_Hall '-P 4 2'
loop_
_atom_site_label
_atom_site_fract_x
_atom_site_fract_y
_atom_site_fract_z
Np1 0.000 0.000 0.000
Mn1 0.000 0.500 0.500
Rh1 0.500 0.500 0.000
```

Output
D(E_F): 5.3 states/eV/cell
M_tot: 0.862 μB/atom

***

Verdict on stability: two comes out on top.